[1]
Below is a relaxed FeAg2HgAu crystal, with properties calculated at the PBE-GGA level.

Calculated values
The formation enthalpy at 0 K is 581 kJ/mol of formula units. The density of states at the Fermi level is 7.41 states/eV/f.u. For the magnetic moment, the calculation gives 3.5 Bohr magnetons per cell.

a = 5.1716 Å, b = 5.1717 Å, c = 5.1716 Å
α = 90.00°, β = 90.00°, γ = 90.00°
Sites, in units of the cell vectors:
Fe 0.5000 0.5000 0.5000
Hg 0.0000 0.0000 0.0000
Ag 0.0000 0.0000 0.5000
Au 0.0000 0.5000 0.0000
Ag 0.5000 0.0000 0.0000



[2]
Below is a relaxed Tb2PrHo crystal, with properties calculated at the PBE-GGA level.

Calculated values
The formation enthalpy at 0 K is 47 kJ/mol of formula units. The density of states at the Fermi level is 8.96 states/eV/f.u. For the distance to the lowest polymorph of the same formula, the calculation gives 2.37 kcal/mol of atoms. For the magnetic moment, the calculation gives 0.0 Bohr magnetons per cell.

a = 4.2260 Å, b = 4.2260 Å, c = 7.3916 Å
α = 90.00°, β = 90.00°, γ = 90.00°
Sites, in units of the cell vectors:
Tb 0.0000 0.0000 0.7566
Pr 0.5000 0.5000 0.5000
Ho 0.5000 0.5000 0.0000
Tb 0.0000 0.0000 0.2434



[3]
Below is a relaxed K4AlOs crystal, with properties calculated at the PBE-GGA level.

Calculated values
The formation enthalpy at 0 K is 788 kJ/mol of formula units. The density of states at the Fermi level is 8.03 states/eV/f.u. For the magnetic moment, the calculation gives 1.5 Bohr magnetons per cell.

a = 6.6096 Å, b = 6.6096 Å, c = 6.6096 Å
α = 60.00°, β = 60.00°, γ = 60.00°
Sites, in units of the cell vectors:
K 0.3756 0.3756 0.3756
Al 0.0000 0.0000 0.0000
K 0.3756 0.3756 0.8732
Os 0.7500 0.7500 0.7500
K 0.3756 0.8732 0.3756
K 0.8732 0.3756 0.3756



Table of final energy (Ry/atom), in record order: -0.172; -0.333; -0.137